This record from the Alexandria database describes a relaxed structure of Zr2FeRe. The functional is PBE-GGA.

It has space group Pm (No. 6), with a = 3.0125 Å, b = 4.5831 Å, c = 5.2104 Å, α = 90.00°, β = 101.11° and γ = 90.00°. The distinct sites, in fractional coordinates, are Zr at (0.0000, 0.0000, 0.0000), Zr at (0.2759, 0.5000, 0.7033), Fe at (0.7299, 0.5000, 0.2298) and Re at (0.5450, 0.0000, 0.4850).

The formation energy from the elements is 0.088 eV/atom. The value obtained for the energy above the most stable polymorph in this dataset is 274 meV/atom.

This record from the Alexandria database describes a relaxed structure of SrCaReS2. The functional is PBE-GGA.

It has space group P4/mmm (No. 123), with a = 5.1147 Å, b = 5.1147 Å, c = 6.4376 Å, α = 90.00°, β = 90.00° and γ = 90.00°. The distinct sites, in fractional coordinates, are Sr at (0.0000, 0.0000, 0.0000), Ca at (0.0000, 0.0000, 0.5000), Re at (0.5000, 0.5000, 0.0000) and S at (0.0000, 0.5000, 0.5000).

The value obtained for the uncorrected formation energy is 86.49 kJ/mol of atoms.

This record from the Alexandria database describes a relaxed structure of KCu2Sb. The functional is PBE-GGA.

It has space group F-43m (No. 216), with a = 6.9755 Å, b = 6.9755 Å, c = 6.9755 Å, α = 90.00°, β = 90.00° and γ = 90.00°. The distinct sites, in fractional coordinates, are K at (0.0000, 0.0000, 0.0000), Cu at (0.0000, 0.0000, 0.5000), Cu at (0.2500, 0.2500, 0.7500) and Sb at (0.2500, 0.2500, 0.2500).

The value obtained for the uncorrected formation energy is 45.38 kJ/mol of atoms.

This record from the Alexandria database describes a relaxed structure of KAg2Ir. The functional is PBE-GGA.

It has space group Cmm2 (No. 35), with a = 3.0566 Å, b = 4.7804 Å, c = 10.5291 Å, α = 90.00°, β = 90.00° and γ = 90.00°. The distinct sites, in fractional coordinates, are K at (0.0000, 0.0000, 0.0000), Ag at (0.0000, 0.0000, 0.4770), Ag at (0.0000, 0.5000, 0.7102) and Ir at (0.0000, 0.5000, 0.2535).

The formation energy from the elements is 0.535 eV/atom. The value obtained for the energy above the most stable polymorph in this dataset is 62 meV/atom.